VASP calculation (PBE) on Nd2Tm2Pt15 after structural relaxation.

Computed properties:
V: 18.4 Å³/atom
Density: 16.9 Mg/m³
Uncorrected energy: -123.22 eV per formula unit
Energy of formation: -743 meV per atom

Cell lengths 9.3519, 9.3519, 13.8392 Å; angles 90.00, 90.00, 120.00 degrees
Space group R-3m (No. 166, hexagonal axes)
Inequivalent atoms, fractional coordinates:
Nd  0.0000  0.0000  0.1432 x6
Tm  0.0000  0.0000  0.3937 x6
Pt  0.0000  0.3096  0.5000 x18
Pt  0.0000  0.5000  0.0000 x9
Pt  0.0031  0.5016  0.6551 x18


VASP calculation (PBE) on YSe2IN after structural relaxation.

Computed properties:
V: 27.3 Å³/atom
ΔE_f (raw): 0.31 eV per atom
Density: 4.7 Mg/m³
Uncorrected energy: -21.75 eV per formula unit

Cell lengths 5.651, 5.651, 4.281 Å; angles 90.00, 90.00, 90.00 degrees
Space group P4/mmm (No. 123)
Inequivalent atoms, fractional coordinates:
Y  0.000  0.000  0.000 x1
Se  0.000  0.500  0.000 x2
I  0.500  0.500  0.500 x1
N  0.000  0.000  0.500 x1


VASP calculation (PBE) on Bi2Se3 after structural relaxation.

Computed properties:
V: 32.0 Å³/atom
ΔE_f (raw): -0.40 eV per atom
Density: 6.8 Mg/m³
Uncorrected energy: -20.19 eV per formula unit

Cell lengths 7.248, 4.187, 10.558 Å; angles 90.00, 91.24, 90.00 degrees
Space group C2/m (No. 12)
Inequivalent atoms, fractional coordinates:
Bi  0.161  0.000  0.315 x4
Se  0.000  0.500  0.500 x2
Se  0.177  0.000  0.833 x4


VASP calculation (PBE) on NaEu2Dy after structural relaxation.

Computed properties:
V: 39.2 Å³/atom
Density: 5.2 Mg/m³
Uncorrected energy: -25.89 eV per formula unit
Energy of formation: 146 meV per atom

Cell lengths 3.6988, 3.6988, 39.6968 Å; angles 90.00, 90.00, 120.00 degrees
Space group R-3m (No. 166, hexagonal axes)
Inequivalent atoms, fractional coordinates:
Na  0.0000  0.0000  0.0000 x3
Eu  0.0000  0.0000  0.0909 x6
Dy  0.0000  0.0000  0.5000 x3